# 1
{
  "formula": "ZnPbSeO",
  "functional": "PBE-GGA",
  "state": "optimized geometry",
  "volume_a3_per_fu": 95.5,
  "crystal_system": "orthorhombic",
  "space_group": "Pbam, No. 55",
  "e_above_lowest_polymorph_mev_per_atom": 50,
  "lattice": [[9.9568, 0.0000, 0.0000], [0.0000, 18.7933, 0.0000], [0.0000, 0.0000, 4.0827]],
  "species": ["O", "O", "O", "O", "O", "O", "O", "O", "Pb", "Pb", "Pb", "Pb", "Pb", "Pb", "Pb", "Pb", "Se", "Se", "Se", "Se", "Se", "Se", "Se", "Se", "Zn", "Zn", "Zn", "Zn", "Zn", "Zn", "Zn", "Zn"],
  "frac_coords": [[0.7080, 0.0440, 0.0000], [0.7060, 0.1971, 0.0000], [0.2060, 0.3029, 0.0000], [0.2080, 0.4560, 0.0000], [0.7920, 0.5440, 0.0000], [0.7940, 0.6971, 0.0000], [0.2940, 0.8029, 0.0000], [0.2920, 0.9560, 0.0000], [0.2350, 0.0142, 0.5000], [0.1880, 0.2410, 0.5000], [0.6880, 0.2590, 0.5000], [0.7350, 0.4858, 0.5000], [0.2650, 0.5142, 0.5000], [0.3120, 0.7410, 0.5000], [0.8120, 0.7590, 0.5000], [0.7650, 0.9858, 0.5000], [0.9828, 0.1176, 0.5000], [0.4332, 0.1367, 0.5000], [0.9332, 0.3633, 0.5000], [0.4828, 0.3824, 0.5000], [0.5172, 0.6176, 0.5000], [0.0668, 0.6367, 0.5000], [0.5668, 0.8633, 0.5000], [0.0172, 0.8824, 0.5000], [0.5636, 0.1175, 0.0000], [0.8499, 0.1245, 0.0000], [0.3499, 0.3755, 0.0000], [0.0636, 0.3825, 0.0000], [0.9364, 0.6175, 0.0000], [0.6501, 0.6245, 0.0000], [0.1501, 0.8755, 0.0000], [0.4364, 0.8825, 0.0000]]
}

=====

# 2
{
  "formula": "ZnPbSeO",
  "functional": "PBE-GGA",
  "state": "optimized geometry",
  "volume_a3_per_fu": 77.9,
  "crystal_system": "hexagonal",
  "space_group": "P6_3mc, No. 186",
  "e_above_lowest_polymorph_mev_per_atom": 397,
  "lattice": [[3.5633, 0.0000, 0.0000], [-1.7817, 3.0861, 0.0000], [0.0000, 0.0000, 14.1754]],
  "species": ["O", "O", "Pb", "Pb", "Se", "Se", "Zn", "Zn"],
  "frac_coords": [[0.0000, 0.0002, 0.3028], [0.0000, 0.9998, 0.8028], [0.9996, 0.9993, 0.4894], [0.0004, 0.0007, 0.9894], [0.6671, 0.3342, 0.1234], [0.3329, 0.6658, 0.6234], [0.3334, 0.6669, 0.2721], [0.6666, 0.3331, 0.7721]]
}

=====

# 3
{
  "formula": "ZnPbSeO",
  "functional": "PBE-GGA",
  "state": "optimized geometry",
  "volume_a3_per_fu": 82.6,
  "crystal_system": "trigonal",
  "space_group": "R-3m, No. 166",
  "e_above_lowest_polymorph_mev_per_atom": 272,
  "lattice": [[1.8305, 1.0568, 14.2281], [-1.8305, 1.0568, 14.2281], [0.0000, -2.1137, 14.2281]],
  "species": ["O", "O", "Pb", "Pb", "Se", "Se", "Zn", "Zn"],
  "frac_coords": [[0.3083, 0.3083, 0.3083], [0.6917, 0.6917, 0.6917], [0.2055, 0.2055, 0.2055], [0.7945, 0.7945, 0.7945], [0.0868, 0.0868, 0.0868], [0.9132, 0.9132, 0.9132], [0.3572, 0.3572, 0.3572], [0.6428, 0.6428, 0.6428]]
}